YCuRe2 after structural relaxation, computed with PBE.

Results
Space-group type: No. 160
Relative energy among the computed polymorphs: 0.003 eV/atom
V: 79 Å³ per cell
Energy of formation: 0.345 eV per formula unit
Final energy: -8.778 eV per atom

Lattice parameters (Å, degrees): 4.294 4.294 5.525 67.10 67.10 59.98
Positions (direct):
Re 0.700 0.700 0.900
Re 0.011 0.011 0.966
Cu 0.290 0.290 0.131
Y 0.499 0.499 0.503



CsGaI2F after structural relaxation, computed with PBE.

Results
Space-group type: No. 123
E_form (uncorrected): -1.287 eV per atom
V: 165 Å³ per cell
Final energy: -3.057 eV per atom

Lattice parameters (Å, degrees): 6.136 6.136 4.383 90.00 90.00 90.00
Positions (direct):
Ga 0.000 0.000 0.000
F 0.000 0.000 0.500
I 0.500 0.000 0.000
I 0.000 0.500 0.000
Cs 0.500 0.500 0.500



CaPdSe after structural relaxation, computed with PBE.

Results
Space-group type: No. 107
Relative energy among the computed polymorphs: 0.243 eV/atom
E_form (uncorrected): -0.920 eV per atom
V: 65 Å³ per cell
Final energy: -4.479 eV per atom

Lattice parameters (Å, degrees): 3.920 3.920 5.064 112.77 112.77 90.00
Positions (direct):
Se 0.601 0.601 0.201
Pd 0.301 0.301 0.603
Ca 0.948 0.948 0.896



VRu2Pb after structural relaxation, computed with PBE.

Results
Space-group type: No. 122
V: 143 Å³ per cell
Energy of formation: 1.984 eV per formula unit
Final energy: -7.349 eV per atom

Lattice parameters (Å, degrees): 7.110 7.110 5.765 51.93 51.93 90.00
Positions (direct):
Ru 0.875 0.812 0.750
Ru 0.562 0.125 0.250
Ru 0.375 0.438 0.750
Ru 0.188 0.625 0.250
V 0.250 0.750 0.500
V 0.500 0.500 0.000
Pb 0.000 0.000 0.000
Pb 0.750 0.250 0.500



K2CaMnV after structural relaxation, computed with PBE.

Results
Space-group type: No. 123
V: 241 Å³ per cell
Energy of formation: 6.773 eV per formula unit
Final energy: -3.142 eV per atom

Lattice parameters (Å, degrees): 6.339 6.339 5.995 90.00 90.00 90.00
Last column: magnetic moment on the atom in μB.
Positions (direct):
K 0.500 0.000 0.000  0.04
K 0.000 0.500 0.000  0.04
V 0.000 0.000 0.000  3.31
Ca 0.000 0.000 0.500  0.17
Mn 0.500 0.500 0.500  4.43



SrPrCuO4 after structural relaxation, computed with PBE.

Results
Space-group type: No. 107
E_form (uncorrected): -2.187 eV per atom
V: 93 Å³ per cell
Final energy: -6.528 eV per atom

Lattice parameters (Å, degrees): 3.862 3.862 6.801 106.50 106.50 90.00
Positions (direct):
Cu 0.002 0.002 0.004
Sr 0.641 0.641 0.281
O 0.173 0.173 0.346
O 0.493 0.993 0.986
O 0.993 0.493 0.986
O 0.837 0.837 0.674
Pr 0.362 0.362 0.724



BeAlFe2 after structural relaxation, computed with PBE.

Results
Space-group type: No. 71
V: 44 Å³ per cell
Energy of formation: -0.755 eV per formula unit
Final energy: -6.287 eV per atom

Lattice parameters (Å, degrees): 4.390 4.390 3.798 64.39 64.39 43.24
Last column: magnetic moment on the atom in μB.
Positions (direct):
Fe 0.510 0.510 0.490  1.94
Fe 0.990 0.990 0.010  1.94
Al 0.750 0.750 0.750  -0.04
Be 0.250 0.250 0.250  -0.06



LaW after structural relaxation, computed with PBE.

Results
Space-group type: No. 194
Relative energy among the computed polymorphs: 0.865 eV/atom
V: 92 Å³ per cell
Energy of formation: 2.419 eV per formula unit
Final energy: -7.731 eV per atom

Lattice parameters (Å, degrees): 3.369 3.369 9.401 90.00 90.00 120.00
Positions (direct):
La 0.000 0.000 0.000
La 0.000 0.000 0.500
W 0.667 0.333 0.750
W 0.333 0.667 0.250



Sr16Mg12Cd after structural relaxation, computed with PBE.

Results
Space-group type: No. 8
V: 1133 Å³ per cell
Energy of formation: -0.600 eV per formula unit
Final energy: -1.640 eV per atom

Lattice parameters (Å, degrees): 10.914 10.914 12.701 112.02 112.02 106.31
Positions (direct):
Sr 0.250 0.250 0.624
Sr 0.647 0.415 0.997
Sr 0.415 0.647 0.997
Sr 0.391 0.391 0.359
Sr 0.753 0.364 0.348
Sr 0.634 0.009 0.008
Sr 0.364 0.753 0.348
Sr 0.389 0.993 0.702
Sr 0.008 0.008 0.015
Sr 0.581 0.237 0.579
Sr 0.981 0.743 0.369
Sr 0.743 0.981 0.369
Sr 0.995 0.995 0.711
Sr 0.237 0.581 0.579
Sr 0.009 0.634 0.008
Sr 0.993 0.389 0.702
Mg 0.815 0.193 0.852
Mg 0.193 0.815 0.852
Mg 0.818 0.818 0.123
Mg 0.632 0.819 0.678
Mg 0.002 0.189 0.314
Mg 0.189 0.002 0.314
Mg 0.185 0.370 0.030
Mg 0.389 0.002 0.181
Mg 0.370 0.185 0.030
Mg 0.615 0.615 0.801
Mg 0.002 0.389 0.181
Mg 0.819 0.632 0.678
Cd 0.583 0.583 0.253



HfHPd3 after structural relaxation, computed with PBE.

Results
Space-group type: No. 221
Relative energy among the computed polymorphs: 0.000 eV/atom
V: 68 Å³ per cell
Final energy: -6.241 eV per atom

Lattice parameters (Å, degrees): 4.084 4.084 4.084 90.00 90.00 90.00
Positions (direct):
Hf 0.500 0.500 0.500
Pd 0.500 0.000 0.000
Pd 0.000 0.500 0.000
Pd 0.000 0.000 0.500
H 0.000 0.000 0.000



LiPrYAu after structural relaxation, computed with PBE.

Results
Space-group type: No. 216
V: 101 Å³ per cell
Energy of formation: -1.441 eV per formula unit
Final energy: -4.469 eV per atom

Lattice parameters (Å, degrees): 5.224 5.224 5.224 60.00 60.00 60.00
Positions (direct):
Au 0.750 0.750 0.750
Li 0.250 0.250 0.250
Y 0.500 0.500 0.500
Pr 0.000 0.000 0.000



K2NpAu2Se4 after structural relaxation, computed with PBE.

Results
Space-group type: No. 12
E_form (uncorrected): -0.829 eV per atom
V: 243 Å³ per cell
Final energy: -4.788 eV per atom

Lattice parameters (Å, degrees): 4.214 8.019 7.919 109.09 105.43 90.00
Last column: magnetic moment on the atom in μB.
Positions (direct):
Np 0.000 0.000 0.000  3.46
Au 0.678 0.988 0.355  -0.05
Au 0.322 0.012 0.645  -0.05
Se 0.491 0.241 0.983  -0.09
Se 0.194 0.206 0.387  -0.08
Se 0.509 0.759 0.017  -0.09
Se 0.806 0.794 0.613  -0.08
K 0.865 0.418 0.731  0.00
K 0.135 0.582 0.269  0.00



GaH2Br5 after structural relaxation, computed with PBE.

Results
Space-group type: No. 1
V: 273 Å³ per cell
Final energy: -2.781 eV per atom

Lattice parameters (Å, degrees): 7.457 7.656 7.426 95.06 135.01 102.99
Positions (direct):
Br 0.208 0.809 0.203
Br 0.889 0.928 0.566
Br 0.402 0.595 0.801
Br 0.558 0.314 0.279
Br 0.845 0.154 0.021
H 0.443 0.473 0.956
H 0.529 0.873 0.376
Ga 0.125 0.077 0.021



K2TlBi2Pd after structural relaxation, computed with PBE.

Results
Space-group type: No. 72
V: 432 Å³ per cell
Energy of formation: -1.531 eV per formula unit
Final energy: -3.175 eV per atom

Lattice parameters (Å, degrees): 7.674 7.224 9.408 112.58 114.07 90.00
Positions (direct):
Bi 0.795 0.093 0.185
Bi 0.609 0.407 0.815
Bi 0.205 0.907 0.815
Bi 0.391 0.593 0.185
Tl 0.000 0.250 0.000
Tl 0.000 0.750 0.000
Pd 0.500 0.250 0.000
Pd 0.500 0.750 0.000
K 0.589 0.836 0.671
K 0.918 0.664 0.329
K 0.411 0.164 0.329
K 0.082 0.336 0.671



CsP2 after structural relaxation, computed with PBE.

Results
Space-group type: No. 8
V: 196 Å³ per cell
Energy of formation: -0.776 eV per formula unit
Final energy: -4.150 eV per atom

Lattice parameters (Å, degrees): 3.440 6.921 8.911 90.00 112.38 90.00
Positions (direct):
Cs 0.496 0.500 0.873
Cs 0.496 0.000 0.373
P 0.954 0.500 0.324
P 0.617 0.000 0.989
P 0.617 0.500 0.489
P 0.954 0.000 0.824



LaAgOs3 after structural relaxation, computed with PBE.

Results
Space-group type: No. 221
Relative energy among the computed polymorphs: 0.766 eV/atom
V: 117 Å³ per cell
Energy of formation: 14.163 eV per formula unit
Final energy: -5.461 eV per atom

Lattice parameters (Å, degrees): 4.891 4.891 4.891 90.00 90.00 90.00
Last column: magnetic moment on the atom in μB.
Positions (direct):
La 0.000 0.000 0.000  -0.07
Os 0.000 0.000 0.500  1.11
Os 0.000 0.500 0.000  1.24
Os 0.500 0.000 0.000  1.11
Ag 0.500 0.500 0.500  0.03



Nd4Tl5 after structural relaxation, computed with PBE.

Results
Space-group type: No. 193
V: 537 Å³ per cell
Energy of formation: -3.120 eV per formula unit
Final energy: -3.780 eV per atom

Lattice parameters (Å, degrees): 6.693 9.626 9.626 120.00 90.00 90.00
Positions (direct):
Nd 0.250 0.000 0.370
Nd 0.750 0.630 0.000
Nd 0.000 0.000 0.000
Nd 0.500 0.000 0.000
Nd 0.250 0.370 0.000
Nd 0.750 0.000 0.630
Nd 0.750 0.370 0.370
Nd 0.250 0.630 0.630
Tl 0.500 0.333 0.667
Tl 0.500 0.667 0.333
Tl 0.250 0.000 0.700
Tl 0.250 0.700 0.000
Tl 0.000 0.667 0.333
Tl 0.000 0.333 0.667
Tl 0.750 0.000 0.300
Tl 0.750 0.300 0.000
Tl 0.250 0.300 0.300
Tl 0.750 0.700 0.700



CdSeCl2 after structural relaxation, computed with PBE.

Results
Space-group type: No. 12
Relative energy among the computed polymorphs: 0.318 eV/atom
E_form (uncorrected): -0.219 eV per atom
V: 96 Å³ per cell
Final energy: -2.242 eV per atom

Lattice parameters (Å, degrees): 5.005 5.005 5.023 66.69 66.69 102.00
Positions (direct):
Cd 0.000 0.500 0.500
Cl 0.000 0.000 0.000
Cl 0.500 0.500 0.000
Se 0.500 0.000 0.500



PrNdTlSn after structural relaxation, computed with PBE.

Results
Space-group type: No. 38
Relative energy among the computed polymorphs: 0.000 eV/atom
V: 125 Å³ per cell
Energy of formation: -2.337 eV per formula unit
Final energy: -4.563 eV per atom

Lattice parameters (Å, degrees): 4.723 4.460 6.392 90.00 111.68 90.00
Positions (direct):
Tl 0.412 0.000 0.824
Pr 0.864 0.500 0.728
Sn 0.587 0.500 0.174
Nd 0.137 0.000 0.274



BeZnRuPt2 after structural relaxation, computed with PBE.

Results
Space-group type: No. 123
V: 73 Å³ per cell
Energy of formation: 0.568 eV per formula unit
Final energy: -5.158 eV per atom

Lattice parameters (Å, degrees): 4.170 4.200 4.170 90.00 90.00 90.00
Positions (direct):
Pt 0.000 0.000 0.500
Pt 0.500 0.000 0.000
Zn 0.500 0.500 0.500
Be 0.000 0.000 0.000
Ru 0.000 0.500 0.000